Ce2NiPt | Alexandria via LeMat-Bulk | GGA-PBE | relaxed; mass density = 10.6 g/cm³; raw total energy = -6.512 eV per atom; SG = P4/mmm, No. 123; M_tot = 1.14 Bohr magnetons per cell
1.0
3.5678 0.0000 0.0000
0.0000 3.5678 0.0000
0.0000 0.0000 6.5983
Ce Ni Pt
2 1 1
Direct
0.0000 0.0000 0.2289
0.0000 0.0000 0.7711
0.5000 0.5000 0.0000
0.5000 0.5000 0.5000


Ce3Ni2Pt9 | Alexandria via LeMat-Bulk | GGA-PBE | relaxed; mass density = 14.9 g/cm³; raw total energy = -6.683 eV per atom; SG = Immm, No. 71; M_tot = 0.00 Bohr magnetons per cell
1.0
-2.0970 5.1476 5.9249
2.0970 -5.1476 5.9249
2.0970 5.1476 -5.9249
Ce Ni Pt
3 2 9
Direct
0.0000 0.0000 0.0000
0.3072 0.3072 0.0000
0.6928 0.6928 0.0000
0.3282 0.5000 0.8282
0.6718 0.5000 0.1718
0.0270 0.6544 0.3726
0.1605 0.8775 0.2830
0.2818 0.6544 0.6274
0.4055 0.1225 0.2830
0.5000 0.0000 0.5000
0.5945 0.8775 0.7170
0.7182 0.3456 0.3726
0.8395 0.1225 0.7170
0.9730 0.3456 0.6274


Ce3Ni2Pt7 | Alexandria via LeMat-Bulk | GGA-PBE | relaxed; mass density = 14.5 g/cm³; raw total energy = -6.810 eV per atom; SG = R-3m, No. 166; M_tot = 0.66 Bohr magnetons per cell
1.0
2.7014 1.5597 8.6421
-2.7014 1.5597 8.6421
0.0000 -3.1193 8.6421
Ce Ni Pt
3 2 7
Direct
0.0000 0.0000 0.0000
0.1392 0.1392 0.1392
0.8608 0.8608 0.8608
0.3329 0.3329 0.3329
0.6671 0.6671 0.6671
0.0778 0.5812 0.5812
0.4188 0.4188 0.9222
0.4188 0.9222 0.4188
0.5000 0.5000 0.5000
0.5812 0.0778 0.5812
0.5812 0.5812 0.0778
0.9222 0.4188 0.4188


Ce12NiPt6 | Alexandria via LeMat-Bulk | GGA-PBE | relaxed; mass density = 9.1 g/cm³; raw total energy = -6.541 eV per atom; SG = R-3, No. 148; M_tot = 10.34 Bohr magnetons per cell
1.0
6.1025 3.5233 4.1370
-6.1025 3.5233 4.1370
0.0000 -7.0466 4.1370
Ce Ni Pt
12 1 6
Direct
0.0128 0.6676 0.9514
0.0486 0.9872 0.3324
0.1898 0.4221 0.5828
0.3324 0.0486 0.9872
0.4172 0.8102 0.5779
0.4221 0.5828 0.1898
0.5779 0.4172 0.8102
0.5828 0.1898 0.4221
0.6676 0.9514 0.0128
0.8102 0.5779 0.4172
0.9514 0.0128 0.6676
0.9872 0.3324 0.0486
0.0000 0.0000 0.0000
0.1256 0.6367 0.3194
0.3194 0.1256 0.6367
0.3633 0.6806 0.8744
0.6367 0.3194 0.1256
0.6806 0.8744 0.3633
0.8744 0.3633 0.6806